a) {"formula": "YAuSN2", "functional": "PBE", "state": "relaxed", "lattice": [[-0.1151, -2.9092, 3.3816], [-0.1144, -3.3797, -2.9115], [5.4651, -0.1983, 0.0154]], "species": ["N", "S", "Y", "N", "Au"], "frac_coords": [[0.5000, 0.0000, 0.0000], [0.0000, 0.0000, 0.5000], [0.0000, 0.0000, 0.0000], [0.0000, 0.5000, 0.0000], [0.5000, 0.5000, 0.5000]]}

b) {"formula": "YAuSN2", "functional": "PBE", "state": "relaxed", "lattice": [[4.1150, 0.0000, 0.0000], [0.0000, 4.1150, 0.0000], [0.0000, 0.0000, 4.8048]], "species": ["S", "Au", "Y", "N", "N"], "frac_coords": [[0.0000, 0.0000, 0.5000], [0.0000, 0.0000, 0.0000], [0.5000, 0.5000, 0.5000], [0.0000, 0.5000, 0.0000], [0.5000, 0.0000, 0.0000]]}

Top of the stability list: b), leading by 28.1 kJ/mol of atoms.

a) {"formula": "ZnAuS2N", "functional": "PBE", "state": "relaxed", "lattice": [[-4.5246, -1.6352, 0.7049], [1.7258, -4.5011, 0.6359], [0.3286, 0.6306, 3.5720]], "species": ["Zn", "Au", "S", "S", "N"], "frac_coords": [[0.0000, 0.0000, 0.0000], [0.5000, 0.5000, 0.5000], [0.5000, 0.0000, 0.0000], [0.0000, 0.5000, 0.0000], [0.0000, 0.0000, 0.5000]]}

b) {"formula": "ZnAuS2N", "functional": "PBE", "state": "relaxed", "lattice": [[5.0600, 0.0000, 0.0000], [0.0000, 5.0600, 0.0000], [0.0000, 0.0000, 3.7557]], "species": ["N", "S", "Au", "S", "Zn"], "frac_coords": [[0.0000, 0.0000, 0.5000], [0.5000, 0.0000, 0.0000], [0.0000, 0.0000, 0.0000], [0.0000, 0.5000, 0.0000], [0.5000, 0.5000, 0.5000]]}

Top of the stability list: b), leading by 7.4 kJ/mol of atoms.

a) {"formula": "ZrAuSN2", "functional": "PBE", "state": "relaxed", "lattice": [[-3.0763, 2.5024, 0.8470], [-2.1255, -1.5724, -3.0745], [-1.8157, -3.2133, 2.8986]], "species": ["N", "S", "Zr", "Au", "N"], "frac_coords": [[0.0000, 0.5000, 0.0000], [0.0000, 0.0000, 0.5000], [0.5000, 0.5000, 0.5000], [0.0000, 0.0000, 0.0000], [0.5000, 0.0000, 0.0000]]}

b) {"formula": "ZrAuSN2", "functional": "PBE", "state": "relaxed", "lattice": [[-0.9175, -1.2846, -3.7509], [-1.3050, -3.5376, 1.5308], [-5.1609, 2.1339, 0.5315]], "species": ["N", "S", "Zr", "N", "Au"], "frac_coords": [[0.5000, 0.0000, 0.0000], [0.0000, 0.0000, 0.5000], [0.0000, 0.0000, 0.0000], [0.0000, 0.5000, 0.0000], [0.5000, 0.5000, 0.5000]]}

Top of the stability list: b), leading by 50.1 kJ/mol of atoms.

a) {"formula": "ZrAuS2N", "functional": "PBE", "state": "relaxed", "lattice": [[4.9067, 0.0000, 0.0000], [0.0000, 4.9067, 0.0000], [0.0000, 0.0000, 3.8330]], "species": ["Zr", "S", "S", "N", "Au"], "frac_coords": [[0.5000, 0.5000, 0.5000], [0.5000, 0.0000, 0.0000], [0.0000, 0.5000, 0.0000], [0.0000, 0.0000, 0.5000], [0.0000, 0.0000, 0.0000]]}

b) {"formula": "ZrAuS2N", "functional": "PBE", "state": "relaxed", "lattice": [[5.0627, 0.0000, 0.0000], [0.0000, 5.0627, 0.0000], [0.0000, 0.0000, 4.1831]], "species": ["S", "S", "N", "Au", "Zr"], "frac_coords": [[0.5000, 0.0000, 0.0000], [0.0000, 0.5000, 0.0000], [0.0000, 0.0000, 0.5000], [0.5000, 0.5000, 0.5000], [0.0000, 0.0000, 0.0000]]}

Top of the stability list: b), leading by 48.7 kJ/mol of atoms.

a) {"formula": "SbAuN", "functional": "PBE", "state": "relaxed", "lattice": [[-2.4408, 1.9293, -0.5423], [-2.8126, -3.6235, -0.2320], [-0.5596, 2.5811, 11.9331]], "species": ["N", "Au", "Sb", "N", "Au", "Sb"], "frac_coords": [[0.5003, 0.5232, 0.0464], [0.0009, 0.2828, 0.5656], [0.9975, 0.1580, 0.3160], [0.4997, 0.4768, 0.9536], [0.9991, 0.7172, 0.4344], [0.0025, 0.8420, 0.6840]]}

b) {"formula": "SbAuN", "functional": "PBE", "state": "relaxed", "lattice": [[-3.7441, -2.2568, -0.4096], [-0.6916, 0.0453, 6.0722], [-7.2742, 11.5899, 2.6352]], "species": ["N", "Au", "Au", "Sb", "Sb", "Sb", "Sb", "N", "Au", "N", "Au", "N"], "frac_coords": [[0.5941, 0.9746, 0.0273], [0.2500, 0.6391, 0.6895], [0.2500, 0.1391, 0.6895], [0.7500, 0.4300, 0.6190], [0.2500, 0.5700, 0.3810], [0.2500, 0.0700, 0.3810], [0.7500, 0.9300, 0.6190], [0.0941, 0.5254, 0.9727], [0.7500, 0.8609, 0.3105], [0.9059, 0.4746, 0.0273], [0.7500, 0.3609, 0.3105], [0.4059, 0.0254, 0.9727]]}

Top of the stability list: a), leading by 7.4 kJ/mol of atoms.

a) {"formula": "SbAu2N", "functional": "PBE", "state": "relaxed", "lattice": [[0.0000, 3.2751, 3.2751], [3.2751, 0.0000, 3.2751], [3.2751, 3.2751, 0.0000]], "species": ["Au", "N", "Sb", "Au"], "frac_coords": [[0.2500, 0.2500, 0.2500], [0.0000, 0.0000, 0.0000], [0.5000, 0.5000, 0.5000], [0.7500, 0.7500, 0.7500]]}

b) {"formula": "SbAu2N", "functional": "PBE", "state": "relaxed", "lattice": [[5.1802, 0.0000, 0.0000], [0.0000, 5.1802, 0.0000], [2.5901, 2.5901, 6.2168]], "species": ["N", "Sb", "Au", "N", "Au", "Sb", "Au", "Au"], "frac_coords": [[0.2500, 0.7500, 0.5000], [0.7500, 0.2500, 0.5000], [0.3750, 0.5137, 0.7500], [0.5000, 0.5000, 0.0000], [0.2637, 0.6250, 0.2500], [0.0000, 0.0000, 0.0000], [0.4863, 0.1250, 0.2500], [0.8750, 0.7363, 0.7500]]}

Top of the stability list: b), leading by 37.6 kJ/mol of atoms.

a) {"formula": "SbTe2AuN", "functional": "PBE", "state": "relaxed", "lattice": [[4.8178, 0.0000, 0.0000], [0.0000, 4.8178, 0.0000], [0.0000, 0.0000, 4.7414]], "species": ["Te", "Te", "N", "Sb", "Au"], "frac_coords": [[0.0000, 0.5000, 0.0000], [0.5000, 0.0000, 0.0000], [0.0000, 0.0000, 0.0000], [0.0000, 0.0000, 0.5000], [0.5000, 0.5000, 0.5000]]}

b) {"formula": "SbTe2AuN", "functional": "PBE", "state": "relaxed", "lattice": [[-4.5420, 2.7646, -0.9822], [-2.4018, -4.5433, -1.6813], [-1.6671, -0.9657, 4.9911]], "species": ["Au", "Sb", "N", "Te", "Te"], "frac_coords": [[0.0000, 0.0000, 0.0000], [0.0000, 0.0000, 0.5000], [0.5000, 0.5000, 0.5000], [0.5000, 0.0000, 0.0000], [0.0000, 0.5000, 0.0000]]}

Top of the stability list: a), leading by 97.5 kJ/mol of atoms.

a) {"formula": "SbTe2AuN", "functional": "PBE", "state": "relaxed", "lattice": [[-1.0203, -2.8428, 4.9991], [-1.1690, -4.8686, -3.0072], [3.7221, -1.0087, 0.1861]], "species": ["N", "Te", "Sb", "Au", "Te"], "frac_coords": [[0.0000, 0.0000, 0.5000], [0.5000, 0.0000, 0.0000], [0.0000, 0.0000, 0.0000], [0.5000, 0.5000, 0.5000], [0.0000, 0.5000, 0.0000]]}

b) {"formula": "SbTe2AuN", "functional": "PBE", "state": "relaxed", "lattice": [[5.6555, 0.0000, 0.0000], [0.0000, 5.6555, 0.0000], [0.0000, 0.0000, 3.9488]], "species": ["N", "Au", "Sb", "Te", "Te"], "frac_coords": [[0.0000, 0.0000, 0.5000], [0.0000, 0.0000, 0.0000], [0.5000, 0.5000, 0.5000], [0.0000, 0.5000, 0.0000], [0.5000, 0.0000, 0.0000]]}

Top of the stability list: b), leading by 11.3 kJ/mol of atoms.